The following is a DFT calculation (PBE) of a geometry-optimized Ho2ErSc5 structure.

Summary:
The energy above the most stable polymorph in this dataset comes out at 0.30 eV/f.u. The value obtained for the magnetization is 0.005 Bohr magnetons per cell. Its density of states at the Fermi level is 1.973 states/eV per atom. The space group is I4mm (107). The value obtained for the total energy is -5.61 eV per atom. The energy of formation from the pure elements comes out at 0.058 eV per atom. The crystal system is tetragonal.

Cell lengths 6.695, 6.695, 6.695 Å; angles 90.98, 119.44, 119.44 degrees
Element x y z (fractional)
Sc 0.000 0.277 0.277
Sc 0.500 0.778 0.778
Sc 0.000 0.778 0.278
Ho 0.500 0.778 0.278
Ho 0.500 0.278 0.778
Sc 0.000 0.278 0.778
Er 0.000 0.778 0.778
Sc 0.500 0.278 0.278